LiTe2NO | Alexandria | GGA-PBE | relaxed; space group = No. 123; total energy = -16.3 eV for the cell shown
1.0
4.8578 0.0000 0.0000
0.0000 4.8578 0.0000
0.0000 0.0000 3.3971
Li Te N O
1 2 1 1
direct
0.0000 0.0000 0.0000
0.0000 0.5000 0.0000
0.5000 0.0000 0.0000
0.0000 0.0000 0.5000
0.5000 0.5000 0.5000